[1]
A relaxed structure of IrSe2O2, computed with PBEsol.

Calculated values
magnetic moment: 0.0 μB per formula unit

Cell: 2.651 7.205 7.205 Å, 90.00 90.00 90.00°
Element x y z (fractional)
Ir (0.000, 0.000, 0.000)
Ir (0.000, 0.500, 0.500)
O (0.000, 0.387, 0.887)
O (0.000, 0.887, 0.613)
O (0.000, 0.613, 0.113)
O (0.000, 0.113, 0.387)
Se (0.500, 0.250, 0.750)
Se (0.500, 0.750, 0.750)
Se (0.500, 0.750, 0.250)
Se (0.500, 0.250, 0.250)



[2]
A relaxed structure of SrIrSe2O, computed with PBEsol.

Calculated values
magnetic moment: 0.0 μB per formula unit

Cell: 4.538 4.490 4.490 Å, 90.00 90.00 90.00°
Element x y z (fractional)
Sr (0.500, 0.000, 0.000)
Ir (0.500, 0.500, 0.500)
O (0.000, 0.000, 0.000)
Se (0.000, 0.000, 0.500)
Se (0.000, 0.500, 0.000)



[3]
A relaxed structure of SiIrO2, computed with PBEsol.

Calculated values
magnetic moment: 0.6 μB per formula unit

Cell: 2.617 2.617 9.450 Å, 82.04 82.04 60.00°
Each line ends with the local moment (μB).
Element x y z (fractional)
Si (0.500, 0.500, 0.500)  0.00
Ir (0.000, 0.000, 0.000)  0.53
O (0.867, 0.867, 0.400)  0.00
O (0.133, 0.133, 0.600)  0.00



[4]
A relaxed structure of SiIrO3, computed with PBEsol.

Calculated values
magnetic moment: 0.0 μB per formula unit

Cell: 3.883 3.883 3.883 Å, 90.00 90.00 90.00°
Element x y z (fractional)
Si (0.500, 0.500, 0.500)
Ir (0.000, 0.000, 0.000)
O (0.000, 0.500, 0.000)
O (0.000, 0.000, 0.500)
O (0.500, 0.000, 0.000)



no.,ΔE_f (raw) (eV per formula unit)
1,2.7
2,0.1
3,-5.6
4,-0.7